No. 1
# YErTm5Sc2 GGA-PBE relaxed
# formation energy	4.34	kcal/mol of atoms
# crystal system	orthorhombic
data_YErTm5Sc2
_chemical_formula_sum 'Y4 Er4 Tm20 Sc8'
_cell_length_a 5.420
_cell_length_b 19.481
_cell_length_c 10.251
_cell_angle_alpha 90.00
_cell_angle_beta 90.00
_cell_angle_gamma 90.00
_symmetry_space_group_name_H-M 'C m c 21'
_symmetry_Int_Tables_number 36
loop_
_symmetry_equiv_pos_as_xyz
'x,y,z'
'-x,-y,z+1/2'
'-x,y,z'
'x,-y,z+1/2'
'x+1/2,y+1/2,z'
'-x+1/2,-y+1/2,z+1/2'
'-x+1/2,y+1/2,z'
'x+1/2,-y+1/2,z+1/2'
loop_
_atom_site_label
_atom_site_type_symbol
_atom_site_fract_x
_atom_site_fract_y
_atom_site_fract_z
Y1 Y 0.000 0.195 0.000
Er1 Er 0.000 0.412 0.435
Tm1 Tm 0.000 0.014 0.010
Tm2 Tm 0.000 0.277 0.300
Tm3 Tm 0.000 0.302 0.696
Tm4 Tm 0.000 0.389 0.011
Tm5 Tm 0.000 0.477 0.724
Sc1 Sc 0.000 0.111 0.727
Sc2 Sc 0.000 0.112 0.300


No. 2
# YEr2Tm6Sc3 GGA-PBE relaxed
# formation energy	1.06	kcal/mol of atoms
# crystal system	monoclinic
data_YEr2Tm6Sc3
_chemical_formula_sum 'Y2 Er4 Tm12 Sc6'
_cell_length_a 5.977
_cell_length_b 10.343
_cell_length_c 11.380
_cell_angle_alpha 90.00
_cell_angle_beta 100.06
_cell_angle_gamma 90.00
_symmetry_space_group_name_H-M 'C 1 2/m 1'
_symmetry_Int_Tables_number 12
loop_
_symmetry_equiv_pos_as_xyz
'x,y,z'
'-x,-y,-z'
'-x,y,-z'
'x,-y,z'
'x+1/2,y+1/2,z'
'-x+1/2,-y+1/2,-z'
'-x+1/2,y+1/2,-z'
'x+1/2,-y+1/2,z'
loop_
_atom_site_label
_atom_site_type_symbol
_atom_site_fract_x
_atom_site_fract_y
_atom_site_fract_z
Y1 Y 0.000 0.000 0.000
Er1 Er 0.000 0.333 0.000
Tm1 Tm 0.247 0.333 0.741
Tm2 Tm 0.248 0.000 0.741
Sc1 Sc 0.000 0.167 0.500
Sc2 Sc 0.000 0.500 0.500


No. 3
# Y3ErTm6Sc2 GGA-PBE relaxed
# formation energy	1.00	kcal/mol of atoms
# crystal system	monoclinic
data_Y3ErTm6Sc2
_chemical_formula_sum 'Y6 Er2 Tm12 Sc4'
_cell_length_a 6.023
_cell_length_b 10.422
_cell_length_c 11.513
_cell_angle_alpha 90.00
_cell_angle_beta 100.02
_cell_angle_gamma 90.00
_symmetry_space_group_name_H-M 'C 1 2/m 1'
_symmetry_Int_Tables_number 12
loop_
_symmetry_equiv_pos_as_xyz
'x,y,z'
'-x,-y,-z'
'-x,y,-z'
'x,-y,z'
'x+1/2,y+1/2,z'
'-x+1/2,-y+1/2,-z'
'-x+1/2,y+1/2,-z'
'x+1/2,-y+1/2,z'
loop_
_atom_site_label
_atom_site_type_symbol
_atom_site_fract_x
_atom_site_fract_y
_atom_site_fract_z
Y1 Y 0.000 0.000 0.000
Y2 Y 0.000 0.333 0.000
Er1 Er 0.000 0.500 0.500
Tm1 Tm 0.246 0.000 0.743
Tm2 Tm 0.249 0.332 0.743
Sc1 Sc 0.000 0.167 0.500


No. 4
# Y6ErTm2Sc3 GGA-PBE relaxed
# formation energy	1.24	kcal/mol of atoms
# crystal system	monoclinic
data_Y6ErTm2Sc3
_chemical_formula_sum 'Y12 Er2 Tm4 Sc6'
_cell_length_a 6.042
_cell_length_b 10.458
_cell_length_c 11.472
_cell_angle_alpha 90.00
_cell_angle_beta 100.10
_cell_angle_gamma 90.00
_symmetry_space_group_name_H-M 'C 1 2/m 1'
_symmetry_Int_Tables_number 12
loop_
_symmetry_equiv_pos_as_xyz
'x,y,z'
'-x,-y,-z'
'-x,y,-z'
'x,-y,z'
'x+1/2,y+1/2,z'
'-x+1/2,-y+1/2,-z'
'-x+1/2,y+1/2,-z'
'x+1/2,-y+1/2,z'
loop_
_atom_site_label
_atom_site_type_symbol
_atom_site_fract_x
_atom_site_fract_y
_atom_site_fract_z
Y1 Y 0.247 0.167 0.242
Y2 Y 0.248 0.500 0.242
Er1 Er 0.000 0.500 0.500
Tm1 Tm 0.000 0.167 0.500
Sc1 Sc 0.000 0.000 0.000
Sc2 Sc 0.000 0.333 0.000


No. 5
# Y6Er2TmSc GGA-PBE relaxed
# formation energy	2.92	kcal/mol of atoms
# crystal system	monoclinic
data_Y6Er2TmSc
_chemical_formula_sum 'Y24 Er8 Tm4 Sc4'
_cell_length_a 9.041
_cell_length_b 14.765
_cell_length_c 9.464
_cell_angle_alpha 90.00
_cell_angle_beta 98.22
_cell_angle_gamma 90.00
_symmetry_space_group_name_H-M 'C 1 2/c 1'
_symmetry_Int_Tables_number 15
loop_
_symmetry_equiv_pos_as_xyz
'x,y,z'
'-x,-y,-z'
'-x,y,-z+1/2'
'x,-y,z+1/2'
'x+1/2,y+1/2,z'
'-x+1/2,-y+1/2,-z'
'-x+1/2,y+1/2,-z+1/2'
'x+1/2,-y+1/2,z+1/2'
loop_
_atom_site_label
_atom_site_type_symbol
_atom_site_fract_x
_atom_site_fract_y
_atom_site_fract_z
Y1 Y 0.061 0.184 0.445
Y2 Y 0.100 0.395 0.616
Y3 Y 0.215 0.220 0.812
Er1 Er 0.249 0.050 0.048
Tm1 Tm 0.000 0.022 0.750
Sc1 Sc 0.000 0.412 0.250


No. 6
# Y6Er3Tm2Sc GGA-PBE relaxed
# formation energy	0.86	kcal/mol of atoms
# crystal system	monoclinic
data_Y6Er3Tm2Sc
_chemical_formula_sum 'Y12 Er6 Tm4 Sc2'
_cell_length_a 6.097
_cell_length_b 10.548
_cell_length_c 11.654
_cell_angle_alpha 90.00
_cell_angle_beta 100.02
_cell_angle_gamma 90.00
_symmetry_space_group_name_H-M 'C 1 2/m 1'
_symmetry_Int_Tables_number 12
loop_
_symmetry_equiv_pos_as_xyz
'x,y,z'
'-x,-y,-z'
'-x,y,-z'
'x,-y,z'
'x+1/2,y+1/2,z'
'-x+1/2,-y+1/2,-z'
'-x+1/2,y+1/2,-z'
'x+1/2,-y+1/2,z'
loop_
_atom_site_label
_atom_site_type_symbol
_atom_site_fract_x
_atom_site_fract_y
_atom_site_fract_z
Y1 Y 0.248 0.166 0.247
Y2 Y 0.249 0.000 0.753
Er1 Er 0.000 0.167 0.500
Er2 Er 0.000 0.500 0.500
Tm1 Tm 0.000 0.333 0.000
Sc1 Sc 0.000 0.000 0.000


Number 1: N(E_F) 65.44 states/eV/cell. Number 2: N(E_F) 37.68 states/eV/cell. Number 3: N(E_F) 37.27 states/eV/cell. Number 4: N(E_F) 38.61 states/eV/cell. Number 5: N(E_F) 57.95 states/eV/cell. Number 6: N(E_F) 37.04 states/eV/cell.